Here is crystalline SrNdCoO4 at its relaxed geometry from the Alexandria database. Energies are from PBE with a Hubbard U.

Values from the calculation:
total DFT energy (no corrections)	-6.832	eV per atom
total magnetization	4.00	Bohr magnetons per cell

Lattice parameters (Å, degrees): 3.821 3.821 12.526 90.00 90.00 90.00
Space group I4mm (No. 107)
Asymmetric unit:
Sr: 0.000 0.000 0.000
Nd: 0.000 0.000 0.283
Co: 0.000 0.000 0.640
O: 0.000 0.000 0.469
O: 0.000 0.000 0.806
O: 0.000 0.500 0.151